Model P:
Compound: LaRu3W
Source: the Alexandria database
Functional: GGA-PBE
Structure: relaxed

Output
* crystal system: cubic
* total magnetization: 0.000 μB per atom
* space group: Pm-3m, No. 221

a = 4.748 Å, b = 4.748 Å, c = 4.748 Å
α = 90.00°, β = 90.00°, γ = 90.00°
Atoms (fractional coordinates):
Ru  0.000  0.500  0.000
Ru  0.000  0.000  0.500
Ru  0.500  0.000  0.000
W  0.000  0.000  0.000
La  0.500  0.500  0.500

---

Model Q:
Compound: LaRu3W
Source: the Alexandria database
Functional: GGA-PBE
Structure: relaxed

Output
* crystal system: cubic
* total magnetization: 0.016 μB per atom
* space group: Pm-3m, No. 221

a = 4.677 Å, b = 4.677 Å, c = 4.677 Å
α = 90.00°, β = 90.00°, γ = 90.00°
Atoms (fractional coordinates):
Ru  0.000  0.500  0.000
Ru  0.000  0.000  0.500
Ru  0.500  0.000  0.000
W  0.500  0.500  0.500
La  0.000  0.000  0.000

---

Last place for stability: model Q

---

Model P:
Compound: LaRuW
Source: the Alexandria database
Functional: GGA-PBE
Structure: relaxed

Output
* crystal system: trigonal
* total magnetization: 0.000 μB per atom
* space group: P3m1, No. 156

a = 2.964 Å, b = 2.964 Å, c = 7.638 Å
α = 90.00°, β = 90.00°, γ = 120.00°
Atoms (fractional coordinates):
La  0.000  0.000  0.006
Ru  0.667  0.333  0.368
W  0.333  0.667  0.626

---

Model Q:
Compound: LaRuW
Source: the Alexandria database
Functional: GGA-PBE
Structure: relaxed

Output
* crystal system: trigonal
* total magnetization: 0.000 μB per atom
* space group: P3m1, No. 156

a = 4.682 Å, b = 4.682 Å, c = 3.052 Å
α = 90.00°, β = 90.00°, γ = 120.00°
Atoms (fractional coordinates):
La  0.000  0.000  0.007
Ru  0.667  0.333  0.347
W  0.333  0.667  0.646

---

Last place for stability: model Q

---

Model P:
Compound: LaRuW
Source: the Alexandria database
Functional: GGA-PBE
Structure: relaxed

Output
* crystal system: cubic
* total magnetization: 0.000 μB per atom
* space group: F-43m, No. 216

a = 4.478 Å, b = 4.478 Å, c = 4.478 Å
α = 60.00°, β = 60.00°, γ = 60.00°
Atoms (fractional coordinates):
La  0.750  0.750  0.750
Ru  0.000  0.000  0.000
W  0.500  0.500  0.500

---

Model Q:
Compound: LaRuW
Source: the Alexandria database
Functional: GGA-PBE
Structure: relaxed

Output
* crystal system: tetragonal
* total magnetization: 0.000 μB per atom
* space group: I4mm, No. 107

a = 6.510 Å, b = 6.510 Å, c = 3.184 Å
α = 75.85°, β = 75.84°, γ = 28.31°
Atoms (fractional coordinates):
La  0.001  0.001  0.999
Ru  0.300  0.300  0.700
W  0.699  0.699  0.301

---

Model R:
Compound: LaRuW
Source: the Alexandria database
Functional: GGA-PBE
Structure: relaxed

Output
* crystal system: cubic
* total magnetization: 0.000 μB per atom
* space group: F-43m, No. 216

a = 4.603 Å, b = 4.603 Å, c = 4.603 Å
α = 60.00°, β = 60.00°, γ = 60.00°
Atoms (fractional coordinates):
La  0.500  0.500  0.500
Ru  0.750  0.750  0.750
W  0.000  0.000  0.000

---

Last place for stability: model P

---

Model P:
Compound: LaRuW3
Source: the Alexandria database
Functional: GGA-PBE
Structure: relaxed

Output
* crystal system: cubic
* total magnetization: 0.419 μB per atom
* space group: Pm-3m, No. 221

a = 4.825 Å, b = 4.825 Å, c = 4.825 Å
α = 90.00°, β = 90.00°, γ = 90.00°
Each line ends with the local moment (μB).
Atoms (fractional coordinates):
Ru  0.000  0.000  0.000  -0.02
W  0.000  0.500  0.000  0.56
W  0.000  0.000  0.500  0.61
W  0.500  0.000  0.000  0.34
La  0.500  0.500  0.500  0.12

---

Model Q:
Compound: LaRuW3
Source: the Alexandria database
Functional: GGA-PBE
Structure: relaxed

Output
* crystal system: cubic
* total magnetization: 0.000 μB per atom
* space group: Pm-3m, No. 221

a = 4.716 Å, b = 4.716 Å, c = 4.716 Å
α = 90.00°, β = 90.00°, γ = 90.00°
Atoms (fractional coordinates):
Ru  0.500  0.500  0.500
W  0.000  0.500  0.000
W  0.000  0.000  0.500
W  0.500  0.000  0.000
La  0.000  0.000  0.000

---

Last place for stability: model Q